DFT (GGA-PBEsol) results for a relaxed structure of BeOsS2N.

Computed properties:
The calculation puts the total magnetization at 0.00 μB/f.u. The volume comes out at 58.8 Å³/cell. Its symmetry is P4/mmm. The total energy comes out at -5.845 eV per atom. As for the raw formation energy: 0.86 eV/atom.

abc: 4.426 4.426 3.000
angles: 90.00 90.00 90.00
Atoms (fractional coordinates):
Be 0.000 0.000 0.000
Os 0.500 0.500 0.500
S 0.000 0.500 0.000
S 0.500 0.000 0.000
N 0.000 0.000 0.500